<P>
CeThPt after structural relaxation. Source: the Alexandria database, functional PBE.

Computed properties:
theoretical density	11726	kg/m³
crystal system	monoclinic

Cell: 3.826 6.172 8.742 Å, 123.10 90.00 108.06°
Atoms (fractional coordinates):
Ce 0.934 0.868 0.157
Ce 0.066 0.132 0.843
Th 0.667 0.334 0.573
Th 0.333 0.666 0.427
Pt 0.648 0.296 0.149
Pt 0.352 0.704 0.851


<Q>
CeThPt after structural relaxation. Source: the Alexandria database, functional PBE.

Computed properties:
theoretical density	12528	kg/m³
crystal system	trigonal

Cell: 3.932 4.699 4.699 Å, 120.00 90.00 90.00°
Atoms (fractional coordinates):
Ce 0.654 0.333 0.667
Th 0.018 0.000 0.000
Pt 0.327 0.667 0.333


Which of them is the most stable? Correct choice: <P>.


<P>
CeThPt after structural relaxation. Source: the Alexandria database, functional PBE.

Computed properties:
theoretical density	10840	kg/m³
crystal system	cubic

Cell: 4.972 4.972 4.972 Å, 60.00 60.00 60.00°
Atoms (fractional coordinates):
Pt 0.250 0.250 0.250
Th 0.000 0.000 0.000
Ce 0.500 0.500 0.500


<Q>
CeThPt after structural relaxation. Source: the Alexandria database, functional PBE.

Computed properties:
theoretical density	12033	kg/m³
crystal system	orthorhombic

Cell: 3.821 8.552 9.581 Å, 90.00 90.00 90.00°
Atoms (fractional coordinates):
Ce 0.750 0.353 0.457
Ce 0.750 0.853 0.043
Ce 0.250 0.147 0.957
Ce 0.250 0.647 0.543
Pt 0.750 0.746 0.338
Pt 0.250 0.254 0.662
Pt 0.750 0.246 0.162
Pt 0.250 0.754 0.838
Th 0.750 0.977 0.661
Th 0.250 0.523 0.161
Th 0.250 0.023 0.339
Th 0.750 0.477 0.839


Which of them is the most stable? Correct choice: <Q>.


<P>
CeTh2Pt after structural relaxation. Source: the Alexandria database, functional PBE.

Computed properties:
theoretical density	12291	kg/m³
crystal system	tetragonal

Cell: 3.702 3.702 7.880 Å, 90.00 90.00 90.00°
Atoms (fractional coordinates):
Pt 0.500 0.500 0.000
Th 0.000 0.000 0.217
Th 0.000 0.000 0.783
Ce 0.500 0.500 0.500


<Q>
CeTh2Pt after structural relaxation. Source: the Alexandria database, functional PBE.

Computed properties:
theoretical density	11580	kg/m³
crystal system	orthorhombic

Cell: 6.399 7.154 10.014 Å, 90.00 90.00 90.00°
Atoms (fractional coordinates):
Pt 0.096 0.383 0.250
Pt 0.904 0.617 0.750
Pt 0.404 0.883 0.250
Pt 0.596 0.117 0.750
Th 0.867 0.310 0.943
Th 0.633 0.810 0.557
Th 0.367 0.190 0.057
Th 0.633 0.810 0.943
Th 0.867 0.310 0.557
Th 0.133 0.690 0.443
Th 0.367 0.190 0.443
Th 0.133 0.690 0.057
Ce 0.654 0.536 0.250
Ce 0.154 0.964 0.750
Ce 0.346 0.464 0.750
Ce 0.846 0.036 0.250


Which of them is the most stable? Correct choice: <Q>.


<P>
CeTh2Pt after structural relaxation. Source: the Alexandria database, functional PBE.

Computed properties:
theoretical density	12310	kg/m³
crystal system	trigonal

Cell: 4.459 4.459 6.770 Å, 70.77 70.77 60.00°
Atoms (fractional coordinates):
Th 0.743 0.743 0.770
Th 0.257 0.257 0.230
Ce 0.500 0.500 0.500
Pt 0.000 0.000 0.000


<Q>
CeTh2Pt after structural relaxation. Source: the Alexandria database, functional PBE.

Computed properties:
theoretical density	11159	kg/m³
crystal system	trigonal

Cell: 3.792 3.792 9.801 Å, 78.85 78.85 60.00°
Atoms (fractional coordinates):
Ce 0.499 0.499 0.504
Th 0.265 0.265 0.204
Th 0.068 0.068 0.795
Pt 0.667 0.667 0.998


<R>
CeTh2Pt after structural relaxation. Source: the Alexandria database, functional PBE.

Computed properties:
theoretical density	12996	kg/m³
crystal system	tetragonal

Cell: 3.507 5.396 5.396 Å, 90.00 90.00 90.00°
Atoms (fractional coordinates):
Th 0.000 0.500 0.000
Th 0.000 0.000 0.500
Pt 0.500 0.000 0.000
Ce 0.500 0.500 0.500


Which of them is the most stable? Correct choice: <R>.


<P>
CeTiPt2 after structural relaxation. Source: the Alexandria database, functional PBE.

Computed properties:
theoretical density	11626	kg/m³
crystal system	trigonal

Cell: 4.416 4.416 5.515 Å, 66.40 66.40 60.00°
Atoms (fractional coordinates):
Ti 0.500 0.500 0.500
Pt 0.786 0.786 0.642
Pt 0.214 0.214 0.358
Ce 0.000 0.000 0.000


<Q>
CeTiPt2 after structural relaxation. Source: the Alexandria database, functional PBE.

Computed properties:
theoretical density	12789	kg/m³
crystal system	tetragonal

Cell: 3.199 3.199 7.337 Å, 90.00 90.00 90.00°
Atoms (fractional coordinates):
Pt 0.000 0.000 0.201
Pt 0.000 0.000 0.799
Ti 0.500 0.500 0.000
Ce 0.500 0.500 0.500


Which of them is the most stable? Correct choice: <P>.


<P>
Ce2TlPt after structural relaxation. Source: the Alexandria database, functional PBE.

Computed properties:
theoretical density	11217	kg/m³
crystal system	orthorhombic

Cell: 3.675 7.114 7.697 Å, 90.00 90.00 90.00°
Atoms (fractional coordinates):
Ce 0.500 0.464 0.788
Ce 0.500 0.536 0.212
Ce 0.500 0.036 0.788
Ce 0.500 0.964 0.212
Tl 0.000 0.250 0.475
Tl 0.000 0.750 0.525
Pt 0.000 0.250 0.061
Pt 0.000 0.750 0.939


<Q>
Ce2TlPt after structural relaxation. Source: the Alexandria database, functional PBE.

Computed properties:
theoretical density	9652	kg/m³
crystal system	trigonal

Cell: 4.004 4.004 8.735 Å, 76.75 76.75 60.00°
Atoms (fractional coordinates):
Tl 0.500 0.500 0.500
Pt 0.000 0.000 0.000
Ce 0.735 0.735 0.796
Ce 0.265 0.265 0.204


Which of them is the most stable? Correct choice: <P>.


<P>
Ce2TlPt after structural relaxation. Source: the Alexandria database, functional PBE.

Computed properties:
theoretical density	11544	kg/m³
crystal system	tetragonal

Cell: 4.363 4.733 4.733 Å, 90.00 90.00 90.00°
Atoms (fractional coordinates):
Pt 0.500 0.000 0.000
Tl 0.500 0.500 0.500
Ce 0.000 0.000 0.500
Ce 0.000 0.500 0.000


<Q>
Ce2TlPt after structural relaxation. Source: the Alexandria database, functional PBE.

Computed properties:
theoretical density	11034	kg/m³
crystal system	tetragonal

Cell: 3.451 3.451 8.587 Å, 90.00 90.00 90.00°
Atoms (fractional coordinates):
Ce 0.000 0.000 0.213
Ce 0.000 0.000 0.787
Tl 0.500 0.500 0.500
Pt 0.500 0.500 0.000


Which of them is the most stable? Correct choice: <Q>.


<P>
Ce2TlPt after structural relaxation. Source: the Alexandria database, functional PBE.

Computed properties:
theoretical density	10902	kg/m³
crystal system	cubic

Cell: 5.271 5.271 5.271 Å, 60.00 60.00 60.00°
Atoms (fractional coordinates):
Ce 0.750 0.750 0.750
Ce 0.250 0.250 0.250
Pt 0.500 0.500 0.500
Tl 0.000 0.000 0.000


<Q>
Ce2TlPt after structural relaxation. Source: the Alexandria database, functional PBE.

Computed properties:
theoretical density	9585	kg/m³
crystal system	trigonal

Cell: 3.997 3.997 8.816 Å, 76.90 76.90 60.00°
Atoms (fractional coordinates):
Pt 0.667 0.667 0.998
Ce 0.266 0.266 0.203
Ce 0.068 0.068 0.797
Tl 0.499 0.499 0.502


Which of them is the most stable? Correct choice: <Q>.